w) First-principles (PBE-GGA) data for a geometry-optimized LaWCl2 structure, as listed in Alexandria. Values from VASP.

```
&SYSTEM
  ibrav = 0, nat = 4, ntyp = 3
/
ATOMIC_SPECIES
Cl 35.45 Cl.upf
W 183.84 W.upf
La 138.91 La.upf
ATOMIC_POSITIONS crystal
Cl 0.024 0.024 0.000
Cl 0.776 0.276 0.500
W 0.268 0.768 0.500
La 0.432 0.432 0.000
CELL_PARAMETERS angstrom
7.854 0.093 0.000
5.942 5.136 0.000
-6.637 -3.303 2.594
```

Output
volume	103	Å³ per cell
space-group type	Imm2
total moment	1.4	μB per formula unit


x) First-principles (PBE-GGA) data for a geometry-optimized LaWCl2 structure, as listed in Alexandria. Values from VASP.

```
&SYSTEM
  ibrav = 0, nat = 4, ntyp = 3
/
ATOMIC_SPECIES
Cl 35.45 Cl.upf
W 183.84 W.upf
La 138.91 La.upf
ATOMIC_POSITIONS crystal
Cl 0.000 0.948 0.961
Cl 0.000 0.552 0.539
W 0.500 0.750 0.750
La 0.500 0.250 0.250
CELL_PARAMETERS angstrom
4.209 0.000 0.000
0.000 4.140 -0.017
0.000 0.428 5.008
```

Output
volume	87	Å³ per cell
space-group type	P2/m
total moment	0.0	μB per formula unit


Stability comparison, relative energies in meV/atom: w) 141; x) 0